Below is crystalline Mg5Si6 at its relaxed geometry, with properties calculated at the GGA-PBE level.

Summary:
Fermi-level density of states (states/eV/cell): 6.67

CIF file:
```
data_Mg5Si6
_chemical_formula_sum 'Mg10 Si12'
_cell_length_a 4.243
_cell_length_b 6.771
_cell_length_c 14.338
_cell_angle_alpha 83.35
_cell_angle_beta 88.14
_cell_angle_gamma 89.27
_space_group_name_H-M_alt 'P 1'
_space_group_IT_number 1
_space_group_name_Hall 'P 1'
loop_
_atom_site_label
_atom_site_fract_x
_atom_site_fract_y
_atom_site_fract_z
Mg1 0.000 0.000 0.000
Mg2 0.002 0.505 0.925
Mg3 0.011 0.922 0.487
Mg4 0.031 0.174 0.788
Mg5 0.043 0.756 0.732
Mg6 0.048 0.432 0.597
Mg7 0.497 0.304 0.080
Mg8 0.549 0.098 0.644
Mg9 0.989 0.597 0.148
Mg10 0.993 0.105 0.224
Si1 0.027 0.517 0.359
Si2 0.454 0.619 0.449
Si3 0.458 0.392 0.260
Si4 0.460 0.074 0.358
Si5 0.492 0.696 0.008
Si6 0.500 0.902 0.137
Si7 0.511 0.219 0.904
Si8 0.531 0.884 0.851
Si9 0.535 0.454 0.755
Si10 0.541 0.718 0.599
Si11 0.651 0.765 0.296
Si12 0.687 0.289 0.459
```

Below is crystalline KRuOF2 at its relaxed geometry, with properties calculated at the GGA-PBE level.

Summary:
Fermi-level density of states (states/eV/cell): 4.23

CIF file:
```
data_KRuOF2
_chemical_formula_sum 'K1 Ru1 O1 F2'
_cell_length_a 4.596
_cell_length_b 4.596
_cell_length_c 4.583
_cell_angle_alpha 90.00
_cell_angle_beta 90.00
_cell_angle_gamma 90.00
_space_group_name_H-M_alt 'P 4/m m m'
_space_group_IT_number 123
_space_group_name_Hall '-P 4 2'
loop_
_atom_site_label
_atom_site_fract_x
_atom_site_fract_y
_atom_site_fract_z
K1 0.000 0.000 0.000
Ru1 0.500 0.500 0.500
O1 0.000 0.000 0.500
F1 0.000 0.500 0.000
```

no.,formation energy from raw total energies (meV per atom)
1,98
2,131